First-principles (GGA+U) data for an optimized crystal structure of RbNdMo2O8, as listed in the Alexandria database.

Lattice parameters (Å, degrees): 10.9964 10.6606 8.0356 90.00 131.29 90.00
Space group C2/c (No. 15)
One atom of each set of equivalent atoms:
1 Rb 0.0000 0.1916 0.2500 [4 per cell]
2 Nd 0.0000 0.2282 0.7500 [4 per cell]
3 Mo 0.1906 0.4980 0.2364 [8 per cell]
4 O 0.0243 0.3942 0.9705 [8 per cell]
5 O 0.1342 0.0730 0.7012 [8 per cell]
6 O 0.1862 0.4200 0.4268 [8 per cell]
7 O 0.2320 0.1544 0.1287 [8 per cell]

Fermi-level density of states = 0.0 states/eV per cell
Raw total energy = -340.9 eV for the cell shown